VASP calculation (PBE) on crystalline BaTaNO at its relaxed geometry.

a = 3.891 Å, b = 6.356 Å, c = 6.292 Å
α = 90.00°, β = 90.00°, γ = 90.00°
Element x y z (fractional)
Ba 0.000 0.161 0.000
Ba 0.000 0.839 0.500
Ta 0.500 0.348 0.506
Ta 0.500 0.652 0.006
N 0.000 0.273 0.510
N 0.000 0.727 0.010
O 0.500 0.411 0.818
O 0.500 0.589 0.318

Summary:
- space group = Pmc2_1, No. 26
- E above lowest polymorph (eV/atom) = 0.145

---

VASP calculation (PBE) on crystalline NdNpIn at its relaxed geometry.

a = 5.283 Å, b = 5.283 Å, c = 5.283 Å
α = 60.00°, β = 60.00°, γ = 60.00°
Element x y z (fractional)
Nd 0.000 0.000 0.000
Np 0.500 0.500 0.500
In 0.250 0.250 0.250

Summary:
- space group = F-43m, No. 216
- E above lowest polymorph (eV/atom) = 0.000

---

VASP calculation (PBE) on crystalline BOsPb2 at its relaxed geometry.

a = 4.797 Å, b = 4.797 Å, c = 4.797 Å
α = 60.00°, β = 60.00°, γ = 60.00°
Element x y z (fractional)
B 0.000 0.000 0.000
Os 0.250 0.250 0.250
Pb 0.500 0.500 0.500
Pb 0.750 0.750 0.750

Summary:
- calculated total energy (eV per cell) = -18.73
- space group = F-43m, No. 216

---

VASP calculation (PBE) on crystalline TbTlAsO at its relaxed geometry.

a = 4.199 Å, b = 4.199 Å, c = 9.685 Å
α = 90.00°, β = 90.00°, γ = 90.00°
Element x y z (fractional)
Tb 0.250 0.250 0.102
Tb 0.750 0.750 0.898
Tl 0.250 0.750 0.500
Tl 0.750 0.250 0.500
As 0.250 0.250 0.725
As 0.750 0.750 0.275
O 0.250 0.750 0.000
O 0.750 0.250 0.000

Summary:
- space group = P4/nmm, No. 129
- E above lowest polymorph (eV/atom) = 0.000

---

VASP calculation (PBE) on crystalline PaCdNO at its relaxed geometry.

a = 3.779 Å, b = 5.929 Å, c = 6.834 Å
α = 90.00°, β = 90.00°, γ = 90.00°
Element x y z (fractional)
Pa 0.000 0.170 0.000
Pa 0.000 0.830 0.500
Cd 0.500 0.292 0.428
Cd 0.500 0.708 0.928
N 0.500 0.351 0.026
N 0.500 0.649 0.526
O 0.000 0.134 0.687
O 0.000 0.866 0.187

Summary:
- space group = Pmc2_1, No. 26
- E above lowest polymorph (eV/atom) = 0.016

---

VASP calculation (PBE) on crystalline TbDyIn2 at its relaxed geometry.

a = 5.545 Å, b = 5.545 Å, c = 3.510 Å
α = 90.00°, β = 90.00°, γ = 102.12°
Element x y z (fractional)
Tb 0.000 0.000 0.000
Dy 0.500 0.500 0.000
In 0.000 0.500 0.500
In 0.500 0.000 0.500

Summary:
- calculated total energy (eV per cell) = -16.59
- space group = Cmmm, No. 65